An optimized crystal structure of Ac2La15Y2. Source: Alexandria, functional PBE-GGA.

a b c (Å): 9.0750 9.0750 9.0750
angles (deg): 80.61 80.61 80.61
With the nearest neighbours (Å) after each atom.
Atoms (fractional coordinates):
La: 0.0000 0.0000 0.5000  8 La 3.48-3.50, 2 Y 3.63
La: 0.5000 0.0000 0.0000  8 La 3.48-3.50, 2 Y 3.63
La: 0.3643 0.8479 0.3643  6 La 3.41-3.53
Ac: 0.3289 0.3289 0.3289  15 La 4.17-4.48, 1 Y 4.23
La: 0.8479 0.3643 0.3643  6 La 3.41-3.53
La: 0.0000 0.5000 0.0000  8 La 3.48-3.50, 2 Y 3.63
La: 0.3643 0.3643 0.8479  6 La 3.41-3.53
Y: 0.0951 0.0951 0.0951  1 Y 3.44, 9 La 3.63-3.84
La: 0.2928 0.7072 0.0000  6 La 3.44-3.53, 2 Y 3.84
La: 0.0000 0.7072 0.2928  6 La 3.44-3.53, 2 Y 3.84
La: 0.6357 0.1521 0.6357  6 La 3.41-3.53
La: 0.1521 0.6357 0.6357  6 La 3.41-3.53
La: 0.7072 0.0000 0.2928  6 La 3.44-3.53, 2 Y 3.84
Y: 0.9049 0.9049 0.9049  1 Y 3.44, 9 La 3.63-3.84
Ac: 0.6711 0.6711 0.6711  15 La 4.17-4.48, 1 Y 4.23
La: 0.6357 0.6357 0.1521  6 La 3.41-3.53
La: 0.7072 0.2928 0.0000  6 La 3.44-3.53, 2 Y 3.84
La: 0.0000 0.2928 0.7072  6 La 3.44-3.53, 2 Y 3.84
La: 0.2928 0.0000 0.7072  6 La 3.44-3.53, 2 Y 3.84

Values from the calculation:
N(E_F)   1.831 states/eV/atom
Space-group type   R-3m
Energy of formation   3.24 eV/f.u.